The following is a PBE calculation of crystalline LaSmAlHg at its relaxed geometry, from Alexandria.

Output
SG   P4mm (99)
DOS at the Fermi energy   0.532 states/eV/atom
Crystal system   tetragonal
Spin magnetization   0.0 μB per formula unit
Excess energy over the best structure of this formula in the dataset   0 meV/atom
DFT formation energy   -432.9 meV/atom

Unit cell a=3.6683 b=3.6683 c=8.0971 alpha=90.00 beta=90.00 gamma=90.00
Closest atoms and distances in Å follow each position.
Fractional positions:
Hg 0.0000 0.0000 0.8402  4 Sm 3.25, 4 La 3.46
La 0.5000 0.5000 0.1224  4 Al 3.27, 4 Hg 3.46
Sm 0.5000 0.5000 0.5978  4 Al 3.19, 4 Hg 3.25
Al 0.0000 0.0000 0.3676  4 Sm 3.19, 4 La 3.27